Below is crystalline LaPd2Se at its relaxed geometry, with properties calculated at the PBE level.

Cell and atoms, written as POSCAR:
```
LaPd2Se
1.0
4.228 0.000 0.000
0.000 4.228 0.000
0.000 0.000 19.716
La Pd Se
4 8 4
direct
0.000 0.000 0.000
0.000 0.500 0.250
0.500 0.000 0.750
0.500 0.500 0.500
0.233 0.250 0.625
0.250 0.733 0.875
0.250 0.767 0.375
0.267 0.250 0.125
0.733 0.750 0.125
0.750 0.233 0.375
0.750 0.267 0.875
0.767 0.750 0.625
0.000 0.000 0.500
0.000 0.500 0.750
0.500 0.000 0.250
0.500 0.500 0.000
```

Computed properties:
**V**: 88.1 Å³/f.u.

=====

Below is crystalline LaPd3Se at its relaxed geometry, with properties calculated at the PBE level.

Cell and atoms, written as POSCAR:
```
LaPd3Se
1.0
4.799 0.000 0.000
0.000 4.799 0.000
0.000 0.000 4.799
La Pd Se
1 3 1
direct
0.000 0.000 0.000
0.000 0.500 0.500
0.500 0.000 0.500
0.500 0.500 0.000
0.500 0.500 0.500
```

Computed properties:
**V**: 110.5 Å³/f.u.

=====

Below is crystalline LaPd3Se4 at its relaxed geometry, with properties calculated at the PBE level.

Cell and atoms, written as POSCAR:
```
LaPd3Se4
1.0
7.118 0.000 0.000
0.000 7.118 0.000
0.000 0.000 7.118
La Pd Se
2 6 8
direct
0.000 0.000 0.000
0.500 0.500 0.500
0.000 0.250 0.500
0.000 0.750 0.500
0.250 0.500 0.000
0.500 0.000 0.250
0.500 0.000 0.750
0.750 0.500 0.000
0.250 0.250 0.250
0.250 0.250 0.750
0.250 0.750 0.250
0.250 0.750 0.750
0.750 0.250 0.250
0.750 0.250 0.750
0.750 0.750 0.250
0.750 0.750 0.750
```

Computed properties:
**V**: 180.4 Å³/f.u.

=====

Below is crystalline La5PdSe8 at its relaxed geometry, with properties calculated at the PBE level.

Cell and atoms, written as POSCAR:
```
La5PdSe8
1.0
-4.464 4.464 4.631
4.464 -4.464 4.631
4.464 4.464 -4.631
La Pd Se
5 1 8
direct
0.000 0.000 0.000
0.135 0.256 0.615
0.480 0.865 0.121
0.641 0.520 0.385
0.744 0.359 0.879
0.250 0.750 0.500
0.010 0.610 0.767
0.231 0.485 0.141
0.343 0.090 0.859
0.390 0.157 0.400
0.515 0.657 0.746
0.757 0.990 0.600
0.843 0.243 0.233
0.910 0.769 0.254
```

Computed properties:
**V**: 369.1 Å³/f.u.

=====

Below is crystalline Sr2LaPdSe at its relaxed geometry, with properties calculated at the PBE level.

Cell and atoms, written as POSCAR:
```
Sr2LaPdSe
1.0
5.913 0.000 0.000
0.000 5.913 0.000
0.000 0.000 5.004
Sr La Pd Se
2 1 1 1
direct
0.000 0.500 0.000
0.500 0.000 0.000
0.000 0.000 0.500
0.500 0.500 0.000
0.500 0.500 0.500
```

Computed properties:
**V**: 175.0 Å³/f.u.

=====

Below is crystalline La2TaPdSe at its relaxed geometry, with properties calculated at the PBE level.

Cell and atoms, written as POSCAR:
```
La2TaPdSe
1.0
5.780 0.000 0.000
0.000 5.780 0.000
0.000 0.000 4.786
La Ta Pd Se
2 1 1 1
direct
0.000 0.500 0.000
0.500 0.000 0.000
0.000 0.000 0.500
0.000 0.000 0.000
0.500 0.500 0.500
```

Computed properties:
**V**: 159.9 Å³/f.u.

=====

Below is crystalline LaTbPdSe3 at its relaxed geometry, with properties calculated at the PBE level.

Cell and atoms, written as POSCAR:
```
LaTbPdSe3
1.0
8.089 0.000 0.000
0.000 4.069 0.000
-2.115 0.000 9.084
La Tb Pd Se
2 2 2 6
direct
0.193 0.250 0.271
0.807 0.750 0.729
0.317 0.750 0.823
0.683 0.250 0.177
0.094 0.250 0.598
0.906 0.750 0.402
0.081 0.250 0.870
0.268 0.750 0.515
0.419 0.750 0.151
0.581 0.250 0.849
0.732 0.250 0.485
0.919 0.750 0.130
```

Computed properties:
**V**: 149.5 Å³/f.u.

=====

Below is crystalline La2ThPdSe5 at its relaxed geometry, with properties calculated at the PBE level.

Cell and atoms, written as POSCAR:
```
La2ThPdSe5
1.0
2.075 -8.818 0.000
2.075 8.818 0.000
0.000 0.000 12.796
La Th Pd Se
4 2 2 10
direct
0.102 0.898 0.500
0.120 0.880 0.844
0.880 0.120 0.344
0.898 0.102 0.000
0.175 0.825 0.168
0.825 0.175 0.668
0.437 0.563 0.571
0.563 0.437 0.071
0.013 0.987 0.173
0.301 0.699 0.501
0.306 0.694 0.832
0.344 0.656 0.167
0.498 0.502 0.893
0.502 0.498 0.393
0.656 0.344 0.667
0.694 0.306 0.332
0.699 0.301 0.001
0.987 0.013 0.673
```

Computed properties:
**V**: 234.1 Å³/f.u.

=====

Below is crystalline LaUPdSe4 at its relaxed geometry, with properties calculated at the PBE level.

Cell and atoms, written as POSCAR:
```
LaUPdSe4
1.0
7.234 0.000 0.000
0.000 5.851 0.000
-2.825 0.000 7.956
La U Pd Se
2 2 2 8
direct
0.246 0.250 0.436
0.754 0.750 0.564
0.228 0.250 0.938
0.772 0.750 0.062
0.261 0.750 0.215
0.739 0.250 0.785
0.055 0.750 0.395
0.071 0.750 0.899
0.463 0.514 0.765
0.463 0.986 0.765
0.537 0.014 0.235
0.537 0.486 0.235
0.929 0.250 0.101
0.945 0.250 0.605
```

Computed properties:
**V**: 168.4 Å³/f.u.

=====

Below is crystalline La2UPdSe5 at its relaxed geometry, with properties calculated at the PBE level.

Cell and atoms, written as POSCAR:
```
La2UPdSe5
1.0
2.054 -8.691 0.000
2.054 8.691 0.000
0.000 0.000 12.732
La U Pd Se
4 2 2 10
direct
0.104 0.896 0.500
0.122 0.878 0.849
0.878 0.122 0.349
0.896 0.104 0.000
0.178 0.822 0.170
0.822 0.178 0.670
0.439 0.561 0.569
0.561 0.439 0.069
0.018 0.982 0.174
0.299 0.701 0.510
0.307 0.693 0.829
0.344 0.656 0.170
0.498 0.502 0.891
0.502 0.498 0.391
0.656 0.344 0.670
0.693 0.307 0.329
0.701 0.299 0.010
0.982 0.018 0.674
```

Computed properties:
**V**: 227.2 Å³/f.u.

=====

Below is crystalline LaUPdSe3 at its relaxed geometry, with properties calculated at the PBE level.

Cell and atoms, written as POSCAR:
```
LaUPdSe3
1.0
8.240 0.000 0.000
0.000 4.065 0.000
-2.211 0.000 8.877
La U Pd Se
2 2 2 6
direct
0.179 0.250 0.258
0.821 0.750 0.742
0.328 0.750 0.832
0.672 0.250 0.168
0.096 0.250 0.596
0.904 0.750 0.404
0.094 0.250 0.876
0.262 0.750 0.514
0.417 0.750 0.162
0.583 0.250 0.838
0.738 0.250 0.486
0.906 0.750 0.124
```

Computed properties:
**V**: 148.7 Å³/f.u.

=====

Below is crystalline LaPd2WSe at its relaxed geometry, with properties calculated at the PBE level.

Cell and atoms, written as POSCAR:
```
LaPd2WSe
1.0
4.764 0.000 0.000
0.000 4.764 0.000
0.000 0.000 5.901
La Pd W Se
1 2 1 1
direct
0.000 0.000 0.000
0.000 0.500 0.500
0.500 0.000 0.500
0.000 0.000 0.500
0.500 0.500 0.000
```

Computed properties:
**V**: 134.0 Å³/f.u.

=====

Below is crystalline LaYPdSe3 at its relaxed geometry, with properties calculated at the PBE level.

Cell and atoms, written as POSCAR:
```
LaYPdSe3
1.0
8.048 0.000 0.000
0.000 4.065 0.000
-2.110 0.000 9.099
La Y Pd Se
2 2 2 6
direct
0.195 0.250 0.274
0.805 0.750 0.726
0.317 0.750 0.824
0.683 0.250 0.176
0.093 0.250 0.598
0.907 0.750 0.402
0.080 0.250 0.869
0.270 0.750 0.518
0.419 0.750 0.150
0.581 0.250 0.850
0.730 0.250 0.482
0.920 0.750 0.131
```

Computed properties:
**V**: 148.8 Å³/f.u.

=====

Below is crystalline LaZr2PdSe at its relaxed geometry, with properties calculated at the PBE level.

Cell and atoms, written as POSCAR:
```
LaZr2PdSe
1.0
5.109 0.000 0.000
0.000 5.109 0.000
0.000 0.000 4.835
La Zr Pd Se
1 2 1 1
direct
0.000 0.000 0.000
0.000 0.500 0.500
0.500 0.000 0.500
0.500 0.500 0.000
0.500 0.500 0.500
```

Computed properties:
**V**: 126.2 Å³/f.u.

=====

Below is crystalline La2Si2Pd at its relaxed geometry, with properties calculated at the PBE level.

Cell and atoms, written as POSCAR:
```
La2Si2Pd
1.0
6.719 0.000 0.000
0.000 6.719 0.000
0.000 0.000 4.880
La Si Pd
4 4 2
direct
0.174 0.326 0.000
0.326 0.826 0.000
0.674 0.174 0.000
0.826 0.674 0.000
0.132 0.632 0.500
0.368 0.132 0.500
0.632 0.868 0.500
0.868 0.368 0.500
0.000 0.000 0.500
0.500 0.500 0.500
```

Computed properties:
**V**: 110.1 Å³/f.u.

=====

Below is crystalline La2Si6Pd21 at its relaxed geometry, with properties calculated at the PBE level.

Cell and atoms, written as POSCAR:
```
La2Si6Pd21
1.0
0.000 6.165 6.165
6.165 0.000 6.165
6.165 6.165 0.000
La Si Pd
2 6 21
direct
0.250 0.250 0.250
0.750 0.750 0.750
0.236 0.236 0.764
0.236 0.764 0.236
0.236 0.764 0.764
0.764 0.236 0.236
0.764 0.236 0.764
0.764 0.764 0.236
0.115 0.115 0.115
0.115 0.115 0.656
0.115 0.656 0.115
0.156 0.500 0.500
0.156 0.500 0.844
0.156 0.844 0.500
0.344 0.885 0.885
0.500 0.156 0.500
0.500 0.156 0.844
0.500 0.500 0.156
0.500 0.500 0.500
0.500 0.500 0.844
0.500 0.844 0.156
0.500 0.844 0.500
0.656 0.115 0.115
0.844 0.156 0.500
0.844 0.500 0.156
0.844 0.500 0.500
0.885 0.344 0.885
0.885 0.885 0.344
0.885 0.885 0.885
```

Computed properties:
**V**: 468.7 Å³/f.u.

=====

Below is crystalline La2SiPd2 at its relaxed geometry, with properties calculated at the PBE level.

Cell and atoms, written as POSCAR:
```
La2SiPd2
1.0
5.711 0.000 0.000
0.000 5.711 0.000
0.000 0.000 7.635
La Si Pd
4 2 4
direct
0.000 0.500 0.250
0.000 0.500 0.750
0.500 0.000 0.250
0.500 0.000 0.750
0.000 0.000 0.000
0.500 0.500 0.500
0.000 0.000 0.330
0.000 0.000 0.670
0.500 0.500 0.170
0.500 0.500 0.830
```

Computed properties:
**V**: 124.5 Å³/f.u.

=====

Below is crystalline La2Si4Pd5 at its relaxed geometry, with properties calculated at the PBE level.

Cell and atoms, written as POSCAR:
```
La2Si4Pd5
1.0
0.000 5.016 6.941
2.957 0.000 6.941
2.957 5.016 0.000
La Si Pd
2 4 5
direct
0.140 0.140 0.860
0.860 0.860 0.140
0.221 0.506 0.494
0.494 0.779 0.221
0.506 0.221 0.779
0.779 0.494 0.506
0.000 0.000 0.500
0.250 0.250 0.250
0.500 0.500 0.000
0.500 0.500 0.500
0.750 0.750 0.750
```

Computed properties:
**V**: 205.9 Å³/f.u.

=====

Below is crystalline LaSi2Pd5 at its relaxed geometry, with properties calculated at the PBE level.

Cell and atoms, written as POSCAR:
```
LaSi2Pd5
1.0
3.978 0.000 0.000
0.000 7.089 0.000
0.000 0.000 9.821
La Si Pd
2 4 10
direct
0.000 0.000 0.000
0.500 0.500 0.500
0.000 0.500 0.243
0.000 0.500 0.757
0.500 0.000 0.257
0.500 0.000 0.743
0.000 0.195 0.347
0.000 0.195 0.653
0.000 0.500 0.000
0.000 0.805 0.347
0.000 0.805 0.653
0.500 0.000 0.500
0.500 0.305 0.153
0.500 0.305 0.847
0.500 0.695 0.153
0.500 0.695 0.847
```

Computed properties:
**V**: 138.5 Å³/f.u.

=====

Below is crystalline La2SiPd5 at its relaxed geometry, with properties calculated at the PBE level.

Cell and atoms, written as POSCAR:
```
La2SiPd5
1.0
6.149 0.000 0.000
0.000 6.149 0.000
0.000 0.000 8.733
La Si Pd
4 2 10
direct
0.000 0.500 0.000
0.000 0.500 0.500
0.500 0.000 0.000
0.500 0.000 0.500
0.000 0.000 0.280
0.500 0.500 0.780
0.000 0.000 0.992
0.227 0.227 0.748
0.227 0.773 0.748
0.273 0.273 0.248
0.273 0.727 0.248
0.500 0.500 0.492
0.727 0.273 0.248
0.727 0.727 0.248
0.773 0.227 0.748
0.773 0.773 0.748
```

Computed properties:
**V**: 165.1 Å³/f.u.

=====

Below is crystalline LaSi3Pd10 at its relaxed geometry, with properties calculated at the PBE level.

Cell and atoms, written as POSCAR:
```
LaSi3Pd10
1.0
0.000 6.167 6.167
6.167 0.000 6.167
6.167 6.167 0.000
La Si Pd
2 6 20
direct
0.250 0.250 0.250
0.750 0.750 0.750
0.236 0.236 0.764
0.236 0.764 0.236
0.236 0.764 0.764
0.764 0.236 0.236
0.764 0.236 0.764
0.764 0.764 0.236
0.115 0.115 0.115
0.115 0.115 0.656
0.115 0.656 0.115
0.156 0.500 0.500
0.156 0.500 0.844
0.156 0.844 0.500
0.344 0.885 0.885
0.500 0.156 0.500
0.500 0.156 0.844
0.500 0.500 0.156
0.500 0.500 0.844
0.500 0.844 0.156
0.500 0.844 0.500
0.656 0.115 0.115
0.844 0.156 0.500
0.844 0.500 0.156
0.844 0.500 0.500
0.885 0.344 0.885
0.885 0.885 0.344
0.885 0.885 0.885
```

Computed properties:
**V**: 234.5 Å³/f.u.

=====

Number 1: raw total energy -5.52 eV per atom. Number 2: raw total energy -5.29 eV per atom. Number 3: raw total energy -5.18 eV per atom. Number 4: raw total energy -5.89 eV per atom. Number 5: raw total energy -3.59 eV per atom. Number 6: raw total energy -6.00 eV per atom. Number 7: raw total energy -5.85 eV per atom. Number 8: raw total energy -6.12 eV per atom. Number 9: raw total energy -6.24 eV per atom. Number 10: raw total energy -6.36 eV per atom. Number 11: raw total energy -6.63 eV per atom. Number 12: raw total energy -5.79 eV per atom. Number 13: raw total energy -6.15 eV per atom. Number 14: raw total energy -6.37 eV per atom. Number 15: raw total energy -5.93 eV per atom. Number 16: raw total energy -5.94 eV per atom. Number 17: raw total energy -5.79 eV per atom. Number 18: raw total energy -6.01 eV per atom. Number 19: raw total energy -6.02 eV per atom. Number 20: raw total energy -5.96 eV per atom. Number 21: raw total energy -5.92 eV per atom.